The following is a DFT calculation (GGA-PBE) of crystalline TaBeFe6 at its relaxed geometry.

For the density of states at the Fermi level, the calculation gives 0.80 states/eV per atom. The value obtained for the formation energy is -0.04 eV/atom.

It has space group Cmmm (No. 65), with a = 6.014 Å, b = 11.262 Å, c = 11.122 Å, α = 90.00°, β = 90.00° and γ = 90.00°. Symmetry generates all atoms from Ta at (0.000, 0.000, 0.244), Ta at (0.000, 0.244, 0.500), Be at (0.000, 0.244, 0.000), Be at (0.000, 0.500, 0.237), Fe at (0.000, 0.000, 0.000), Fe at (0.000, 0.000, 0.500), Fe at (0.000, 0.251, 0.241), Fe at (0.000, 0.500, 0.000), Fe at (0.000, 0.500, 0.500), Fe at (0.237, 0.378, 0.367) and Fe at (0.241, 0.370, 0.115).